The following is a DFT calculation (GGA-PBE) of an optimized crystal structure of Co2Mo2As.

* N(E_F): 0.909 states/eV per atom
* total DFT energy (no corrections): -7.614 eV/atom
* mass density: 8.3 g/cm3
* formation enthalpy at 0 K: 0.49 eV/atom
* energy relative to the lowest polymorph listed for this composition: 373 meV per atom

Cell lengths 3.895, 3.895, 10.167 Å; angles 90.00, 90.00, 90.00 degrees
Space group I4/mmm (No. 139)
Unique sites:
1 Co 0.000 0.000 0.106
2 Mo 0.000 0.500 0.250
3 As 0.000 0.000 0.500